# 1
# Ba2ScTa3O12

An optimized crystal structure of Ba2ScTa3O12 (PBE, Alexandria).

abc: 7.5715 7.5715 18.0353
angles: 90.00 90.00 120.00
Space group R-3m (No. 166, hexagonal axes)
Asymmetric unit:
Ba (0.0000, 0.0000, 0.1723) (multiplicity 6)
Sc (0.0000, 0.0000, 0.5000) (multiplicity 3)
Ta (0.0000, 0.5000, 0.0000) (multiplicity 9)
O (0.0538, 0.5269, 0.1083) (multiplicity 18)
O (0.0887, 0.5444, 0.3532) (multiplicity 18)

Output
Uncorrected energy = -8.56 eV/atom
V = 16.582 A^3/atom
Total magnetic moment = 6.30 μB/cell

# 2
# BaScTcO6

An optimized crystal structure of BaScTcO6 (PBE, Alexandria).

abc: 5.3926 5.3926 5.6891
angles: 90.00 90.00 120.00
Space group P312 (No. 149)
Asymmetric unit:
Ba (0.0000, 0.0000, 0.0000) (multiplicity 1)
Sc (0.3333, 0.6667, 0.5000) (multiplicity 1)
Tc (0.6667, 0.3333, 0.5000) (multiplicity 1)
O (0.4034, 0.0269, 0.6947) (multiplicity 6)

Output
Uncorrected energy = -7.67 eV/atom
V = 15.920 A^3/atom
Total magnetic moment = 0.00 μB/cell

# 3
# Ba2ScTc3O12

An optimized crystal structure of Ba2ScTc3O12 (PBE, Alexandria).

abc: 7.3818 7.3818 17.8577
angles: 90.00 90.00 120.00
Space group R-3m (No. 166, hexagonal axes)
Asymmetric unit:
Ba (0.0000, 0.0000, 0.1701) (multiplicity 6)
Sc (0.0000, 0.0000, 0.5000) (multiplicity 3)
Tc (0.0000, 0.5000, 0.0000) (multiplicity 9)
O (0.0500, 0.5250, 0.1059) (multiplicity 18)
O (0.0871, 0.5435, 0.3488) (multiplicity 18)

Output
Uncorrected energy = -7.54 eV/atom
V = 15.606 A^3/atom
Total magnetic moment = 8.55 μB/cell

# 4
# Ba2ScTcO6

An optimized crystal structure of Ba2ScTcO6 (PBE, Alexandria).

abc: 5.9146 5.9146 29.2165
angles: 90.00 90.00 120.00
Space group R-3m (No. 166, hexagonal axes)
Asymmetric unit:
Ba (0.0000, 0.0000, 0.1302) (multiplicity 6)
Ba (0.0000, 0.0000, 0.2832) (multiplicity 6)
Sc (0.0000, 0.0000, 0.4058) (multiplicity 6)
Tc (0.0000, 0.0000, 0.0000) (multiplicity 3)
Tc (0.0000, 0.0000, 0.5000) (multiplicity 3)
O (0.0145, 0.5073, 0.7055) (multiplicity 18)
O (0.0254, 0.5127, 0.1255) (multiplicity 18)

Output
Uncorrected energy = -7.58 eV/atom
V = 14.752 A^3/atom
Total magnetic moment = 12.02 μB/cell

# 5
# BaSc2TcO8

An optimized crystal structure of BaSc2TcO8 (PBE, Alexandria).

abc: 4.6004 4.9865 7.0926
angles: 89.97 89.91 89.80
Space group P-1 (No. 2)
Asymmetric unit:
Ba (0.0000, 0.0000, 0.0000) (multiplicity 1)
Sc (0.4998, 0.5000, 0.2737) (multiplicity 2)
Tc (0.0000, 0.0000, 0.5000) (multiplicity 1)
O (0.2316, 0.8374, 0.6857) (multiplicity 2)
O (0.2326, 0.8384, 0.3139) (multiplicity 2)
O (0.2630, 0.3150, 0.5003) (multiplicity 2)
O (0.2802, 0.4729, 0.0001) (multiplicity 2)

Output
Uncorrected energy = -7.62 eV/atom
V = 13.558 A^3/atom
Total magnetic moment = 0.20 μB/cell

# 6
# BaScTc2O8

An optimized crystal structure of BaScTc2O8 (PBE, Alexandria).

abc: 5.8193 5.8193 7.3779
angles: 90.00 90.00 120.00
Space group P-3 (No. 147)
Asymmetric unit:
Ba (0.0000, 0.0000, 0.0000) (multiplicity 1)
Sc (0.0000, 0.0000, 0.5000) (multiplicity 1)
Tc (0.3333, 0.6667, 0.7545) (multiplicity 2)
O (0.1590, 0.3217, 0.6814) (multiplicity 6)
O (0.3333, 0.6667, 0.9959) (multiplicity 2)

Output
Uncorrected energy = -7.77 eV/atom
V = 18.031 A^3/atom
Total magnetic moment = 3.01 μB/cell

# 7
# Ba3ScTc2O9

An optimized crystal structure of Ba3ScTc2O9 (PBE, Alexandria).

abc: 5.7860 5.7860 7.0782
angles: 90.00 90.00 120.00
Space group P-3m1 (No. 164)
Asymmetric unit:
Ba (0.0000, 0.0000, 0.0000) (multiplicity 1)
Ba (0.3333, 0.6667, 0.6595) (multiplicity 2)
Sc (0.0000, 0.0000, 0.5000) (multiplicity 1)
Tc (0.3333, 0.6667, 0.1574) (multiplicity 2)
O (0.0000, 0.5000, 0.0000) (multiplicity 3)
O (0.1721, 0.3443, 0.3249) (multiplicity 6)

Output
Uncorrected energy = -7.58 eV/atom
V = 13.681 A^3/atom
Total magnetic moment = 0.00 μB/cell

# 8
# Ba3ScTe2O9

An optimized crystal structure of Ba3ScTe2O9 (PBE, Alexandria).

abc: 6.0068 6.0068 7.3765
angles: 90.00 90.00 120.00
Space group P-3m1 (No. 164)
Asymmetric unit:
Ba (0.0000, 0.0000, 0.0000) (multiplicity 1)
Ba (0.3333, 0.6667, 0.6697) (multiplicity 2)
Sc (0.0000, 0.0000, 0.5000) (multiplicity 1)
Te (0.3333, 0.6667, 0.1771) (multiplicity 2)
O (0.0000, 0.5000, 0.0000) (multiplicity 3)
O (0.1691, 0.3383, 0.3362) (multiplicity 6)

Output
Uncorrected energy = -6.43 eV/atom
V = 15.367 A^3/atom
Total magnetic moment = 0.00 μB/cell